Entry from the Alexandria database: a PBEsol-optimized structure of CsTiF2 (SCAN).

The space group is R-3m. For the density of states at the Fermi level, the calculation gives 1.34 states/eV/f.u.

Lattice parameters (Å, degrees): 3.7367 3.7367 7.7659 76.08 76.08 60.00
Closest atoms and distances in Å follow each position.
Fractional coordinates of all 4 atoms:
1 Cs 0.5000 0.5000 0.5000  6 F 2.83
2 F 0.9153 0.9153 0.2540  1 Ti 1.89
3 F 0.0847 0.0847 0.7460  1 Ti 1.89
4 Ti 0.0000 0.0000 0.0000  2 F 1.89

Entry from the Alexandria database: a PBEsol-optimized structure of Cs3TiF7 (SCAN).

The space group is P4/mbm. For the density of states at the Fermi level, the calculation gives 0.00 states/eV/f.u.

Lattice parameters (Å, degrees): 6.2382 8.3576 8.3576 90.00 90.00 90.00
Closest atoms and distances in Å follow each position.
Fractional coordinates of all 22 atoms:
1 Cs 0.5000 0.1914 0.6914  10 F 2.93-3.16
2 Cs 0.5000 0.6914 0.8086  10 F 2.93-3.16
3 Cs 0.5000 0.3086 0.1914  10 F 2.93-3.16
4 Cs 0.5000 0.8086 0.3086  10 F 2.93-3.16
5 Cs 0.0000 0.5000 0.5000  6 F 3.12-3.15
6 Cs 0.0000 0.0000 0.0000  6 F 3.12-3.15
7 Ti 0.0000 0.0000 0.5000  6 F 1.88
8 Ti 0.0000 0.5000 0.0000  6 F 1.88
9 F 0.7844 0.3891 0.8891  1 Ti 1.88
10 F 0.7844 0.6109 0.1109  1 Ti 1.88
11 F 0.7844 0.1109 0.3891  1 Ti 1.88
12 F 0.7844 0.8891 0.6109  1 Ti 1.88
13 F 0.2156 0.3891 0.8891  1 Ti 1.88
14 F 0.2156 0.8891 0.6109  1 Ti 1.88
15 F 0.2156 0.1109 0.3891  1 Ti 1.88
16 F 0.2156 0.6109 0.1109  1 Ti 1.88
17 F 0.5000 0.0000 0.0000  6 Cs 3.04-3.12
18 F 0.5000 0.5000 0.5000  6 Cs 3.04-3.12
19 F 0.0000 0.8413 0.3413  1 Ti 1.88
20 F 0.0000 0.3413 0.1587  1 Ti 1.88
21 F 0.0000 0.6587 0.8413  1 Ti 1.88
22 F 0.0000 0.1587 0.6587  1 Ti 1.88

Entry from the Alexandria database: a PBEsol-optimized structure of CsTiF4 (SCAN).

The space group is P4/nmm. For the density of states at the Fermi level, the calculation gives 1.04 states/eV/f.u.

Lattice parameters (Å, degrees): 6.5455 7.8704 7.8704 90.00 90.00 90.00
Closest atoms and distances in Å follow each position.
Fractional coordinates of all 24 atoms:
1 Cs 0.5000 0.0000 0.0000  8 F 3.12
2 Cs 0.5000 0.5000 0.5000  8 F 3.12
3 Cs 0.4507 0.0000 0.5000  12 F 3.01-3.34
4 Cs 0.5493 0.5000 0.0000  12 F 3.01-3.34
5 Ti 0.0000 0.7500 0.2500  6 F 1.92-1.99
6 Ti 0.0000 0.7500 0.7500  6 F 1.92-1.99
7 Ti 0.0000 0.2500 0.2500  6 F 1.92-1.99
8 Ti 0.0000 0.2500 0.7500  6 F 1.92-1.99
9 F 0.0403 0.7480 0.5000  2 Ti 1.99
10 F 0.0403 0.0000 0.7520  2 Ti 1.99
11 F 0.0403 0.0000 0.2480  2 Ti 1.99
12 F 0.0403 0.2520 0.5000  2 Ti 1.99
13 F 0.9596 0.7520 0.0000  2 Ti 1.99
14 F 0.9596 0.2480 0.0000  2 Ti 1.99
15 F 0.9596 0.5000 0.7480  2 Ti 1.99
16 F 0.9596 0.5000 0.2520  2 Ti 1.99
17 F 0.2897 0.7228 0.2228  1 Ti 1.92
18 F 0.2897 0.7228 0.7772  1 Ti 1.92
19 F 0.2897 0.2772 0.2228  1 Ti 1.92
20 F 0.2897 0.2772 0.7772  1 Ti 1.92
21 F 0.7103 0.7772 0.7228  1 Ti 1.92
22 F 0.7103 0.2228 0.2772  1 Ti 1.92
23 F 0.7103 0.2228 0.7228  1 Ti 1.92
24 F 0.7103 0.7772 0.2772  1 Ti 1.92

Number 1: formation energy without anion corrections -2.22 eV per atom. Number 2: formation energy without anion corrections -3.37 eV per atom. Number 3: formation energy without anion corrections -3.46 eV per atom.